1.
{
  "formula": "La4Bi2SbTe",
  "functional": "PBE-GGA",
  "state": "optimized geometry",
  "e_form_raw_ev_per_atom": -1.27,
  "vol_a3_per_cell": 285,
  "rho_kg_m3": 7116,
  "magnetic_moment_mub_per_atom": 0.000,
  "final_energy_ev_per_atom": -5.615,
  "lattice_angstrom": [[8.054, 0.000, 0.000], [0.000, 4.663, 0.000], [-2.697, 0.000, 7.599]],
  "species": ["La", "La", "La", "La", "Bi", "Bi", "Sb", "Te"],
  "frac_coords": [[0.247, 0.000, 0.246], [0.250, 0.500, 0.754], [0.750, 0.500, 0.246], [0.753, 0.000, 0.754], [0.500, 0.000, 0.000], [0.500, 0.500, 0.500], [0.000, 0.500, 0.000], [0.000, 0.000, 0.500]]
}

2.
{
  "formula": "CdCuPt2",
  "functional": "PBE-GGA",
  "state": "optimized geometry",
  "formation_energy_ev_per_atom": -0.10,
  "vol_a3_per_cell": 64,
  "rho_kg_m3": 14679,
  "magnetic_moment_mub_per_atom": 0.000,
  "final_energy_ev_per_atom": -4.378,
  "lattice_angstrom": [[0.000, 3.176, 3.176], [3.176, 0.000, 3.176], [3.176, 3.176, 0.000]],
  "species": ["Cd", "Cu", "Pt", "Pt"],
  "frac_coords": [[0.000, 0.000, 0.000], [0.750, 0.750, 0.750], [0.250, 0.250, 0.250], [0.500, 0.500, 0.500]]
}

3.
{
  "formula": "Y3Al2Ni6",
  "functional": "PBE-GGA",
  "state": "optimized geometry",
  "formation_energy_ev_per_atom": -0.55,
  "vol_a3_per_cell": 358,
  "rho_kg_m3": 6249,
  "magnetic_moment_mub_per_atom": 0.000,
  "final_energy_ev_per_atom": -6.151,
  "lattice_angstrom": [[-4.471, 4.471, 4.471], [4.471, -4.471, 4.471], [4.471, 4.471, -4.471]],
  "species": ["Y", "Y", "Y", "Y", "Y", "Y", "Al", "Al", "Al", "Al", "Ni", "Ni", "Ni", "Ni", "Ni", "Ni", "Ni", "Ni", "Ni", "Ni", "Ni", "Ni"],
  "frac_coords": [[0.000, 0.292, 0.292], [0.000, 0.708, 0.708], [0.292, 0.000, 0.292], [0.292, 0.292, 0.000], [0.708, 0.000, 0.708], [0.708, 0.708, 0.000], [0.000, 0.000, 0.500], [0.000, 0.500, 0.000], [0.500, 0.000, 0.000], [0.500, 0.500, 0.500], [0.000, 0.334, 0.666], [0.000, 0.666, 0.334], [0.333, 0.666, 0.666], [0.334, 0.000, 0.666], [0.334, 0.334, 0.667], [0.334, 0.666, 0.000], [0.334, 0.667, 0.334], [0.666, 0.000, 0.334], [0.666, 0.333, 0.666], [0.666, 0.334, 0.000], [0.666, 0.666, 0.333], [0.667, 0.334, 0.334]]
}

4.
{
  "formula": "Ac2TlTc",
  "functional": "PBE-GGA",
  "state": "optimized geometry",
  "formation_energy_ev_per_atom": 0.77,
  "vol_a3_per_cell": 129,
  "rho_kg_m3": 9767,
  "magnetic_moment_mub_per_atom": 0.000,
  "final_energy_ev_per_atom": -4.472,
  "lattice_angstrom": [[1.824, 1.053, 11.152], [-1.824, 1.053, 11.152], [0.000, -2.107, 11.152]],
  "species": ["Ac", "Ac", "Tl", "Tc"],
  "frac_coords": [[0.079, 0.079, 0.079], [0.921, 0.921, 0.921], [0.500, 0.500, 0.500], [0.000, 0.000, 0.000]]
}

5.
{
  "formula": "Pr6As3S2I",
  "functional": "PBE-GGA",
  "state": "optimized geometry",
  "e_form_raw_ev_per_atom": -1.59,
  "vol_a3_per_cell": 335,
  "rho_kg_m3": 6247,
  "magnetic_moment_mub_per_atom": 0.000,
  "final_energy_ev_per_atom": -5.961,
  "lattice_angstrom": [[9.331, -2.136, 0.000], [9.331, 2.136, 0.000], [-1.927, 0.000, 8.409]],
  "species": ["Pr", "Pr", "Pr", "Pr", "Pr", "Pr", "As", "As", "As", "S", "S", "I"],
  "frac_coords": [[0.004, 0.004, 0.280], [0.321, 0.321, 0.906], [0.332, 0.332, 0.416], [0.668, 0.668, 0.584], [0.679, 0.679, 0.094], [0.996, 0.996, 0.720], [0.161, 0.161, 0.835], [0.500, 0.500, 0.500], [0.839, 0.839, 0.165], [0.168, 0.168, 0.334], [0.832, 0.832, 0.666], [0.500, 0.500, 0.000]]
}

6.
{
  "formula": "NaMn2Te",
  "functional": "PBE-GGA",
  "state": "optimized geometry",
  "e_form_raw_ev_per_atom": 0.47,
  "vol_a3_per_cell": 183,
  "rho_kg_m3": 4724,
  "magnetic_moment_mub_per_atom": 2.135,
  "final_energy_ev_per_atom": -5.234,
  "lattice_angstrom": [[-2.108, 2.108, 10.303], [2.108, -2.108, 10.303], [2.108, 2.108, -10.303]],
  "species": ["Na", "Na", "Mn", "Mn", "Mn", "Mn", "Te", "Te"],
  "frac_coords": [[0.000, 0.000, 0.000], [0.750, 0.250, 0.500], [0.154, 0.625, 0.029], [0.375, 0.404, 0.529], [0.596, 0.125, 0.971], [0.875, 0.846, 0.471], [0.250, 0.750, 0.500], [0.500, 0.500, 0.000]]
}

7.
{
  "formula": "Co2AgPb",
  "functional": "PBE-GGA",
  "state": "optimized geometry",
  "formation_energy_ev_per_atom": 0.49,
  "vol_a3_per_cell": 67,
  "rho_kg_m3": 10786,
  "magnetic_moment_mub_per_atom": 0.804,
  "final_energy_ev_per_atom": -4.707,
  "lattice_angstrom": [[-1.626, 2.248, 4.558], [1.626, -2.248, 4.558], [1.626, 2.248, -4.558]],
  "species": ["Co", "Co", "Ag", "Pb"],
  "frac_coords": [[0.000, 0.000, 0.000], [0.818, 0.318, 0.500], [0.553, 0.553, 0.000], [0.270, 0.770, 0.500]]
}

8.
{
  "formula": "LiFe3N",
  "functional": "PBE-GGA",
  "state": "optimized geometry",
  "e_form_raw_ev_per_atom": 2.34,
  "e_above_lowest_polymorph_mev_per_atom": 2382,
  "vol_a3_per_cell": 54,
  "rho_kg_m3": 5798,
  "magnetic_moment_mub_per_atom": 0.000,
  "final_energy_ev_per_atom": -4.784,
  "lattice_angstrom": [[3.779, 0.000, 0.000], [0.000, 3.779, 0.000], [0.000, 0.000, 3.779]],
  "species": ["Li", "Fe", "Fe", "Fe", "N"],
  "frac_coords": [[0.000, 0.000, 0.000], [0.000, 0.000, 0.500], [0.000, 0.500, 0.000], [0.500, 0.000, 0.000], [0.500, 0.500, 0.500]]
}

9.
{
  "formula": "InSnBiBr",
  "functional": "PBE-GGA",
  "state": "optimized geometry",
  "e_form_raw_ev_per_atom": -0.12,
  "vol_a3_per_cell": 117,
  "rho_kg_m3": 7413,
  "magnetic_moment_mub_per_atom": 0.000,
  "final_energy_ev_per_atom": -3.190,
  "lattice_angstrom": [[0.000, 3.882, 3.882], [3.882, 0.000, 3.882], [3.882, 3.882, 0.000]],
  "species": ["In", "Sn", "Bi", "Br"],
  "frac_coords": [[0.000, 0.000, 0.000], [0.500, 0.500, 0.500], [0.750, 0.750, 0.750], [0.250, 0.250, 0.250]]
}

10.
{
  "formula": "ThPa2CoN4",
  "functional": "PBE-GGA",
  "state": "optimized geometry",
  "e_form_raw_ev_per_atom": -1.38,
  "vol_a3_per_cell": 227,
  "rho_kg_m3": 11818,
  "magnetic_moment_mub_per_atom": 0.000,
  "final_energy_ev_per_atom": -9.733,
  "lattice_angstrom": [[1.737, -5.748, 0.000], [1.737, 5.748, 0.000], [0.000, 0.000, 11.389]],
  "species": ["Th", "Th", "Pa", "Pa", "Pa", "Pa", "Co", "Co", "N", "N", "N", "N", "N", "N", "N", "N"],
  "frac_coords": [[0.109, 0.891, 0.750], [0.891, 0.109, 0.250], [0.367, 0.633, 0.562], [0.367, 0.633, 0.938], [0.633, 0.367, 0.062], [0.633, 0.367, 0.438], [0.160, 0.840, 0.250], [0.840, 0.160, 0.750], [0.000, 0.000, 0.000], [0.000, 0.000, 0.500], [0.275, 0.725, 0.118], [0.275, 0.725, 0.382], [0.453, 0.547, 0.750], [0.547, 0.453, 0.250], [0.725, 0.275, 0.618], [0.725, 0.275, 0.882]]
}

11.
{
  "formula": "PrDy3Rh8",
  "functional": "PBE-GGA",
  "state": "optimized geometry",
  "formation_energy_ev_per_atom": -0.68,
  "vol_a3_per_cell": 218,
  "rho_kg_m3": 11043,
  "magnetic_moment_mub_per_atom": 0.000,
  "final_energy_ev_per_atom": -7.134,
  "lattice_angstrom": [[5.358, 0.000, 0.000], [-2.679, 4.640, 0.000], [0.000, 0.000, 8.781]],
  "species": ["Pr", "Dy", "Dy", "Dy", "Rh", "Rh", "Rh", "Rh", "Rh", "Rh", "Rh", "Rh"],
  "frac_coords": [[0.000, 0.000, 0.000], [0.000, 0.000, 0.367], [0.667, 0.333, 0.498], [0.667, 0.333, 0.863], [0.165, 0.330, 0.679], [0.165, 0.835, 0.679], [0.333, 0.667, 0.432], [0.333, 0.667, 0.931], [0.502, 0.004, 0.186], [0.502, 0.498, 0.186], [0.670, 0.835, 0.679], [0.996, 0.498, 0.186]]
}

12.
{
  "formula": "MoRu3",
  "functional": "PBE-GGA",
  "state": "optimized geometry",
  "e_above_lowest_polymorph_mev_per_atom": 50,
  "formation_energy_ev_per_atom": -0.01,
  "vol_a3_per_cell": 345,
  "rho_kg_m3": 11529,
  "magnetic_moment_mub_per_atom": 0.000,
  "final_energy_ev_per_atom": -9.670,
  "lattice_angstrom": [[5.476, 0.000, 0.000], [0.000, 13.248, 0.000], [0.000, 0.000, 4.755]],
  "species": ["Mo", "Mo", "Mo", "Mo", "Mo", "Mo", "Ru", "Ru", "Ru", "Ru", "Ru", "Ru", "Ru", "Ru", "Ru", "Ru", "Ru", "Ru", "Ru", "Ru", "Ru", "Ru", "Ru", "Ru"],
  "frac_coords": [[0.250, 0.089, 0.161], [0.250, 0.411, 0.161], [0.250, 0.750, 0.506], [0.750, 0.250, 0.494], [0.750, 0.589, 0.839], [0.750, 0.911, 0.839], [0.001, 0.750, 0.002], [0.003, 0.585, 0.335], [0.003, 0.915, 0.335], [0.250, 0.250, 0.503], [0.250, 0.584, 0.838], [0.250, 0.916, 0.838], [0.497, 0.585, 0.335], [0.497, 0.915, 0.335], [0.499, 0.750, 0.002], [0.501, 0.250, 0.998], [0.503, 0.085, 0.665], [0.503, 0.415, 0.665], [0.750, 0.084, 0.162], [0.750, 0.416, 0.162], [0.750, 0.750, 0.497], [0.997, 0.085, 0.665], [0.997, 0.415, 0.665], [0.999, 0.250, 0.998]]
}

13.
{
  "formula": "K3Pa3AgS8",
  "functional": "PBE-GGA",
  "state": "optimized geometry",
  "e_form_raw_ev_per_atom": -1.37,
  "vol_a3_per_cell": 418,
  "rho_kg_m3": 4662,
  "magnetic_moment_mub_per_atom": 0.201,
  "final_energy_ev_per_atom": -5.880,
  "lattice_angstrom": [[4.028, 2.326, 7.446], [-4.028, 2.326, 7.446], [0.000, -4.652, 7.446]],
  "species": ["K", "K", "K", "Pa", "Pa", "Pa", "Ag", "S", "S", "S", "S", "S", "S", "S", "S"],
  "frac_coords": [[0.000, 0.500, 0.500], [0.500, 0.000, 0.500], [0.500, 0.500, 0.000], [0.000, 0.000, 0.500], [0.000, 0.500, 0.000], [0.500, 0.000, 0.000], [0.500, 0.500, 0.500], [0.216, 0.742, 0.742], [0.235, 0.235, 0.235], [0.258, 0.258, 0.784], [0.258, 0.784, 0.258], [0.742, 0.216, 0.742], [0.742, 0.742, 0.216], [0.765, 0.765, 0.765], [0.784, 0.258, 0.258]]
}

14.
{
  "formula": "CaCeIrPt",
  "functional": "PBE-GGA",
  "state": "optimized geometry",
  "formation_energy_ev_per_atom": -0.73,
  "vol_a3_per_cell": 85,
  "rho_kg_m3": 11096,
  "magnetic_moment_mub_per_atom": 0.106,
  "final_energy_ev_per_atom": -6.439,
  "lattice_angstrom": [[0.000, 3.489, 3.489], [3.489, 0.000, 3.489], [3.489, 3.489, 0.000]],
  "species": ["Ca", "Ce", "Ir", "Pt"],
  "frac_coords": [[0.000, 0.000, 0.000], [0.500, 0.500, 0.500], [0.750, 0.750, 0.750], [0.250, 0.250, 0.250]]
}

15.
{
  "formula": "Ba3CaMg8",
  "functional": "PBE-GGA",
  "state": "optimized geometry",
  "formation_energy_ev_per_atom": -0.08,
  "vol_a3_per_cell": 392,
  "rho_kg_m3": 2739,
  "magnetic_moment_mub_per_atom": 0.000,
  "final_energy_ev_per_atom": -1.795,
  "lattice_angstrom": [[3.257, 1.881, 10.664], [-3.257, 1.881, 10.664], [0.000, -3.761, 10.664]],
  "species": ["Ba", "Ba", "Ba", "Ca", "Mg", "Mg", "Mg", "Mg", "Mg", "Mg", "Mg", "Mg"],
  "frac_coords": [[0.000, 0.000, 0.000], [0.126, 0.126, 0.126], [0.623, 0.623, 0.623], [0.500, 0.500, 0.500], [0.062, 0.062, 0.558], [0.062, 0.558, 0.062], [0.068, 0.562, 0.562], [0.312, 0.312, 0.312], [0.558, 0.062, 0.062], [0.562, 0.068, 0.562], [0.562, 0.562, 0.068], [0.813, 0.813, 0.813]]
}

16.
{
  "formula": "CaRe2Cl",
  "functional": "PBE-GGA",
  "state": "optimized geometry",
  "e_form_raw_ev_per_atom": 0.28,
  "e_above_lowest_polymorph_mev_per_atom": 420,
  "vol_a3_per_cell": 85,
  "rho_kg_m3": 8750,
  "magnetic_moment_mub_per_atom": 0.000,
  "final_energy_ev_per_atom": -6.901,
  "lattice_angstrom": [[-1.809, 1.809, 6.492], [1.809, -1.809, 6.492], [1.809, 1.809, -6.492]],
  "species": ["Ca", "Re", "Re", "Cl"],
  "frac_coords": [[0.000, 0.000, 0.000], [0.250, 0.750, 0.500], [0.750, 0.250, 0.500], [0.500, 0.500, 0.000]]
}

17.
{
  "formula": "Cr2GaFeAu",
  "functional": "PBE-GGA",
  "state": "optimized geometry",
  "formation_energy_ev_per_atom": 0.67,
  "vol_a3_per_cell": 85,
  "rho_kg_m3": 8314,
  "magnetic_moment_mub_per_atom": 1.040,
  "final_energy_ev_per_atom": -6.137,
  "lattice_angstrom": [[4.358, 0.000, 0.000], [0.000, 4.358, 0.000], [0.000, 0.000, 4.486]],
  "species": ["Cr", "Cr", "Ga", "Fe", "Au"],
  "frac_coords": [[0.000, 0.500, 0.000], [0.500, 0.000, 0.000], [0.000, 0.000, 0.500], [0.000, 0.000, 0.000], [0.500, 0.500, 0.500]]
}

18.
{
  "formula": "AlCr2ReW",
  "functional": "PBE-GGA",
  "state": "optimized geometry",
  "formation_energy_ev_per_atom": 1.98,
  "vol_a3_per_cell": 93,
  "rho_kg_m3": 8906,
  "magnetic_moment_mub_per_atom": 0.926,
  "final_energy_ev_per_atom": -7.699,
  "lattice_angstrom": [[4.459, 0.000, 0.000], [0.000, 4.459, 0.000], [0.000, 0.000, 4.699]],
  "species": ["Al", "Cr", "Cr", "Re", "W"],
  "frac_coords": [[0.000, 0.000, 0.000], [0.000, 0.500, 0.500], [0.500, 0.000, 0.500], [0.500, 0.500, 0.000], [0.000, 0.000, 0.500]]
}

19.
{
  "formula": "HfFe8Re3",
  "functional": "PBE-GGA",
  "state": "optimized geometry",
  "formation_energy_ev_per_atom": -0.07,
  "vol_a3_per_cell": 148,
  "rho_kg_m3": 13280,
  "magnetic_moment_mub_per_atom": 0.504,
  "final_energy_ev_per_atom": -9.656,
  "lattice_angstrom": [[4.682, 0.000, 0.000], [-2.341, 4.055, 0.000], [0.000, 0.000, 7.796]],
  "species": ["Hf", "Fe", "Fe", "Fe", "Fe", "Fe", "Fe", "Fe", "Fe", "Re", "Re", "Re"],
  "frac_coords": [[0.000, 0.000, 0.000], [0.163, 0.327, 0.682], [0.163, 0.837, 0.682], [0.333, 0.667, 0.435], [0.333, 0.667, 0.933], [0.503, 0.007, 0.188], [0.503, 0.497, 0.188], [0.673, 0.837, 0.682], [0.993, 0.497, 0.188], [0.000, 0.000, 0.377], [0.667, 0.333, 0.496], [0.667, 0.333, 0.846]]
}

20.
{
  "formula": "SrYRh2",
  "functional": "PBE-GGA",
  "state": "optimized geometry",
  "formation_energy_ev_per_atom": 0.02,
  "vol_a3_per_cell": 83,
  "rho_kg_m3": 7610,
  "magnetic_moment_mub_per_atom": 0.000,
  "final_energy_ev_per_atom": -5.696,
  "lattice_angstrom": [[0.000, 3.468, 3.468], [3.468, 0.000, 3.468], [3.468, 3.468, 0.000]],
  "species": ["Sr", "Y", "Rh", "Rh"],
  "frac_coords": [[0.000, 0.000, 0.000], [0.250, 0.250, 0.250], [0.500, 0.500, 0.500], [0.750, 0.750, 0.750]]
}